(1)
KU3Tl2Se8 after structural relaxation. Source: Alexandria via LeMat-Bulk, functional PBE-GGA.

## Properties
Formation energy from raw total energies = -14.0 eV per formula unit
Crystal system = trigonal

Unit cell a=8.477 b=8.477 c=9.356 alpha=63.06 beta=63.06 gamma=60.00
Last column: magnetic moment on the atom in μB.
Fractional positions:
Se 0.245 0.700 0.810  -0.07
Se 0.270 0.270 0.189  -0.07
Se 0.245 0.245 0.810  -0.07
Se 0.729 0.729 0.812  -0.06
Se 0.755 0.755 0.189  -0.07
Se 0.755 0.300 0.189  -0.07
Se 0.700 0.245 0.810  -0.07
Se 0.300 0.755 0.189  -0.07
K 0.864 0.864 0.408  0.00
Tl 0.504 0.504 0.489  -0.01
Tl 0.126 0.126 0.621  -0.01
U 0.000 0.500 0.001  1.85
U 0.500 0.500 0.001  1.85
U 0.500 0.000 0.001  1.85


(2)
CsBeWC2 after structural relaxation. Source: Alexandria via LeMat-Bulk, functional PBE-GGA.

## Properties
Calculated formation energy = 1.352 eV/atom
Crystal system = tetragonal

Unit cell a=4.223 b=4.912 c=4.223 alpha=90.00 beta=90.00 gamma=90.00
Fractional positions:
Be 0.000 0.500 0.000
C 0.500 0.000 0.000
C 0.000 0.000 0.500
W 0.000 0.000 0.000
Cs 0.500 0.500 0.500


(3)
YGeAs2Au after structural relaxation. Source: Alexandria via LeMat-Bulk, functional PBE-GGA.

## Properties
Calculated formation energy = 0.711 eV/atom
Crystal system = tetragonal

Unit cell a=5.352 b=5.502 c=5.352 alpha=90.00 beta=90.00 gamma=90.00
Fractional positions:
As 0.500 0.000 0.000
As 0.000 0.000 0.500
Au 0.500 0.500 0.500
Y 0.000 0.000 0.000
Ge 0.000 0.500 0.000


(4)
Ba2TlTc after structural relaxation. Source: Alexandria via LeMat-Bulk, functional PBE-GGA.

## Properties
Calculated formation energy = 0.689 eV/atom
Crystal system = trigonal

Unit cell a=10.773 b=10.773 c=10.773 alpha=20.50 beta=20.50 gamma=20.50
Fractional positions:
Ba 0.987 0.987 0.987
Ba 0.513 0.513 0.513
Tl 0.750 0.750 0.750
Tc 0.250 0.250 0.250


(5)
ZnSbPI2 after structural relaxation. Source: Alexandria via LeMat-Bulk, functional PBE-GGA.

## Properties
Formation energy from raw total energies = 2.5 eV per formula unit
Crystal system = tetragonal

Unit cell a=5.477 b=5.477 c=5.420 alpha=90.00 beta=90.00 gamma=90.00
Last column: magnetic moment on the atom in μB.
Fractional positions:
I 0.500 0.000 0.000  0.01
I 0.000 0.500 0.000  0.01
Zn 0.500 0.500 0.500  -0.01
Sb 0.000 0.000 0.500  0.07
P 0.000 0.000 0.000  0.00


| no. | density of states at the Fermi level (states/eV per cell) |
| --- | --- |
| 1 | 16.1 |
| 2 | 1.9 |
| 3 | 2.3 |
| 4 | 4.4 |
| 5 | 3.8 |